*A*
Below is a geometry-optimized Pm2PrGa structure, with properties calculated at the PBE-GGA level.

```
4
Lattice="1.797 1.038 11.516 -1.797 1.038 11.516 0.000 -2.075 11.516" Properties=species:S:1:pos:R:3 pbc="T T T"
Pm 0.000 0.000 3.550
Pm 0.000 0.000 30.996
Pr 0.000 0.000 0.000
Ga 0.000 0.000 17.273
```

Output
* magnetic moment: 0.00 μB per formula unit
* mass density: 6.5 g/cm3

---

*B*
Below is a geometry-optimized Pm2PrGa structure, with properties calculated at the PBE-GGA level.

```
4
Lattice="2.193 1.266 7.956 -2.193 1.266 7.956 0.000 -2.533 7.956" Properties=species:S:1:pos:R:3 pbc="T T T"
Pm 0.000 0.000 0.000
Pm 0.000 0.000 4.970
Pr 0.000 0.000 10.438
Ga 0.000 0.000 14.406
```

Output
* magnetic moment: 0.00 μB per formula unit
* mass density: 6.3 g/cm3

---

Result of the stability comparison: *B* is the least stable of them.

---

*A*
Below is a geometry-optimized Pm2PrGa structure, with properties calculated at the PBE-GGA level.

```
4
Lattice="4.859 0.000 0.000 0.000 4.859 0.000 0.000 0.000 4.836" Properties=species:S:1:pos:R:3 pbc="T T T"
Pm 0.000 2.430 0.000
Pm 2.430 0.000 0.000
Pr 0.000 0.000 2.418
Ga 2.430 2.430 2.418
```

Output
* magnetic moment: 0.00 μB per formula unit
* mass density: 7.3 g/cm3

---

*B*
Below is a geometry-optimized Pm2PrGa structure, with properties calculated at the PBE-GGA level.

```
4
Lattice="0.000 3.871 3.871 3.871 0.000 3.871 3.871 3.871 0.000" Properties=species:S:1:pos:R:3 pbc="T T T"
Pm 1.935 1.935 1.935
Pm 5.806 5.806 5.806
Pr 0.000 0.000 0.000
Ga 3.871 3.871 3.871
```

Output
* magnetic moment: 1.13 μB per formula unit
* mass density: 7.2 g/cm3

---

Result of the stability comparison: *B* is the least stable of them.

---

*A*
Below is a geometry-optimized Pm4PrGa structure, with properties calculated at the PBE-GGA level.

```
6
Lattice="3.661 0.000 0.000 0.000 3.661 0.000 0.000 0.000 14.178" Properties=species:S:1:pos:R:3 pbc="T T T"
Pm 0.000 0.000 1.840
Pm 0.000 0.000 12.338
Pm 1.830 1.830 4.472
Pm 1.830 1.830 9.706
Pr 0.000 0.000 7.089
Ga 1.830 1.830 0.000
```

Output
* magnetic moment: 0.00 μB per formula unit
* mass density: 6.9 g/cm3

---

*B*
Below is a geometry-optimized Pm4PrGa structure, with properties calculated at the PBE-GGA level.

```
6
Lattice="6.234 -1.896 0.000 6.234 1.896 0.000 -3.384 0.000 8.065" Properties=species:S:1:pos:R:3 pbc="T T T"
Pm 0.000 0.000 0.000
Pm -1.146 0.000 3.470
Pm 5.816 0.000 6.789
Pm 8.057 0.000 2.203
Pr 2.340 0.000 5.135
Ga 4.025 0.000 1.094
```

Output
* magnetic moment: 0.00 μB per formula unit
* mass density: 6.9 g/cm3

---

Result of the stability comparison: *B* is the least stable of them.

---

*A*
Below is a geometry-optimized Pm2PrGa2 structure, with properties calculated at the PBE-GGA level.

```
10
Lattice="5.932 0.000 0.000 0.000 4.077 0.000 -2.011 0.000 12.318" Properties=species:S:1:pos:R:3 pbc="T T T"
Pm -0.258 1.019 4.558
Pm -0.516 3.058 11.551
Pm 4.437 1.019 0.767
Pm 4.179 3.058 7.760
Pr 1.310 1.019 8.767
Pr 2.611 3.058 3.551
Ga 1.474 1.019 1.595
Ga 1.111 3.058 6.392
Ga 2.810 1.019 5.926
Ga 2.447 3.058 10.723
```

Output
* magnetic moment: 0.00 μB per formula unit
* mass density: 6.4 g/cm3

---

*B*
Below is a geometry-optimized Pm2PrGa2 structure, with properties calculated at the PBE-GGA level.

```
10
Lattice="7.846 0.000 0.000 0.000 7.846 0.000 0.000 0.000 4.508" Properties=species:S:1:pos:R:3 pbc="T T T"
Pm 1.366 2.557 0.000
Pm 2.557 6.480 0.000
Pm 5.289 1.366 0.000
Pm 6.480 5.289 0.000
Pr 0.000 0.000 2.254
Pr 3.923 3.923 2.254
Ga 0.917 4.840 2.254
Ga 3.006 0.917 2.254
Ga 4.840 6.929 2.254
Ga 6.929 3.006 2.254
```

Output
* magnetic moment: 0.00 μB per formula unit
* mass density: 6.8 g/cm3

---

Result of the stability comparison: *A* is the least stable of them.

---

*A*
Below is a geometry-optimized PmPr2Ga6 structure, with properties calculated at the PBE-GGA level.

```
9
Lattice="7.417 0.000 0.000 -3.709 6.423 0.000 0.000 0.000 4.327" Properties=species:S:1:pos:R:3 pbc="T T T"
Pm 0.000 0.000 0.000
Pr 0.000 4.282 0.000
Pr 3.709 2.141 0.000
Ga -1.234 2.137 2.164
Ga -2.475 4.287 2.164
Ga 2.467 0.000 2.164
Ga 1.234 2.137 2.164
Ga 4.950 0.000 2.164
Ga 2.475 4.287 2.164
```

Output
* magnetic moment: 0.00 μB per formula unit
* mass density: 6.8 g/cm3

---

*B*
Below is a geometry-optimized PmPr2Ga6 structure, with properties calculated at the PBE-GGA level.

```
9
Lattice="-2.226 3.617 6.814 2.226 -3.617 6.814 2.226 3.617 -6.814" Properties=species:S:1:pos:R:3 pbc="T T T"
Pm 0.000 0.000 0.000
Pr 2.226 0.000 5.010
Pr 0.000 3.617 1.805
Ga 2.226 1.349 -2.380
Ga 2.226 2.276 0.000
Ga 2.226 1.349 2.380
Ga 0.000 2.268 4.434
Ga 0.000 1.341 6.814
Ga 0.000 2.268 9.194
```

Output
* magnetic moment: 0.00 μB per formula unit
* mass density: 6.4 g/cm3

---

Result of the stability comparison: *B* is the least stable of them.

---

*A*
Below is a geometry-optimized Pm3PrGa2 structure, with properties calculated at the PBE-GGA level.

```
12
Lattice="8.882 -2.327 0.000 8.882 2.327 0.000 -3.649 0.000 8.409" Properties=species:S:1:pos:R:3 pbc="T T T"
Pm 0.147 0.000 1.602
Pm 3.600 0.000 4.775
Pm 6.164 0.000 0.199
Pm 7.951 0.000 8.210
Pm 10.515 0.000 3.634
Pm 13.968 0.000 6.807
Pr -0.252 0.000 5.428
Pr 14.367 0.000 2.980
Ga 3.311 0.000 1.743
Ga 7.569 0.000 3.010
Ga 6.546 0.000 5.399
Ga 10.805 0.000 6.666
```

Output
* magnetic moment: 0.00 μB per formula unit
* mass density: 6.8 g/cm3

---

*B*
Below is a geometry-optimized Pm3PrGa2 structure, with properties calculated at the PBE-GGA level.

```
12
Lattice="5.164 0.000 0.000 0.000 9.715 0.000 0.000 0.000 6.716" Properties=species:S:1:pos:R:3 pbc="T T T"
Pm 0.000 0.533 0.000
Pm 0.000 3.184 2.270
Pm 0.000 6.530 5.628
Pm 0.000 9.181 3.358
Pm 2.582 1.640 4.707
Pm 2.582 8.075 1.349
Pr 2.582 4.344 0.271
Pr 2.582 5.371 3.629
Ga 0.000 3.402 5.416
Ga 0.000 6.313 2.058
Ga 2.582 1.431 1.551
Ga 2.582 8.283 4.909
```

Output
* magnetic moment: 0.00 μB per formula unit
* mass density: 7.1 g/cm3

---

Result of the stability comparison: *A* is the least stable of them.

---

*A*
Below is a geometry-optimized PmPrGaRh structure, with properties calculated at the PBE-GGA level.

```
4
Lattice="0.000 3.629 3.629 3.629 0.000 3.629 3.629 3.629 0.000" Properties=species:S:1:pos:R:3 pbc="T T T"
Pm 0.000 0.000 0.000
Pr 3.629 3.629 3.629
Ga 5.443 5.443 5.443
Rh 1.814 1.814 1.814
```

Output
* magnetic moment: 0.00 μB per formula unit
* mass density: 8.0 g/cm3

---

*B*
Below is a geometry-optimized PmPrGaRh structure, with properties calculated at the PBE-GGA level.

```
4
Lattice="3.952 0.000 0.000 0.000 2.209 5.649 0.000 -2.209 5.649" Properties=species:S:1:pos:R:3 pbc="T T T"
Pm 0.000 0.000 0.000
Pr 1.976 0.000 8.074
Ga 0.000 0.000 3.387
Rh 1.976 0.000 5.092
```

Output
* magnetic moment: 0.00 μB per formula unit
* mass density: 7.7 g/cm3

---

Result of the stability comparison: *A* is the least stable of them.

---

*A*
Below is a geometry-optimized PmPrGaSi structure, with properties calculated at the PBE-GGA level.

```
4
Lattice="0.000 3.670 3.670 3.670 0.000 3.670 3.670 3.670 0.000" Properties=species:S:1:pos:R:3 pbc="T T T"
Pm 0.000 0.000 0.000
Pr 3.670 3.670 3.670
Ga 1.835 1.835 1.835
Si 5.505 5.505 5.505
```

Output
* magnetic moment: 0.00 μB per formula unit
* mass density: 6.4 g/cm3

---

*B*
Below is a geometry-optimized PmPrGaSi structure, with properties calculated at the PBE-GGA level.

```
4
Lattice="4.066 0.000 0.000 0.000 2.227 5.603 0.000 -2.227 5.603" Properties=species:S:1:pos:R:3 pbc="T T T"
Pm 0.000 0.000 0.000
Pr 2.033 0.000 8.041
Ga 2.033 0.000 4.828
Si 0.000 0.000 3.240
```

Output
* magnetic moment: 0.22 μB per formula unit
* mass density: 6.3 g/cm3

---

Result of the stability comparison: *A* is the least stable of them.

---

*A*
Below is a geometry-optimized PmPrGaSn structure, with properties calculated at the PBE-GGA level.

```
4
Lattice="4.271 0.000 0.000 0.000 2.309 5.788 0.000 -2.309 5.788" Properties=species:S:1:pos:R:3 pbc="T T T"
Pm 0.000 0.000 0.000
Pr 2.136 0.000 8.332
Ga 0.000 0.000 3.182
Sn 2.136 0.000 5.029
```

Output
* magnetic moment: 0.01 μB per formula unit
* mass density: 6.9 g/cm3

---

*B*
Below is a geometry-optimized PmPrGaSn structure, with properties calculated at the PBE-GGA level.

```
4
Lattice="0.000 3.805 3.805 3.805 0.000 3.805 3.805 3.805 0.000" Properties=species:S:1:pos:R:3 pbc="T T T"
Pm 0.000 0.000 0.000
Pr 3.805 3.805 3.805
Ga 5.707 5.707 5.707
Sn 1.902 1.902 1.902
```

Output
* magnetic moment: 0.00 μB per formula unit
* mass density: 7.1 g/cm3

---

Result of the stability comparison: *B* is the least stable of them.

---

*A*
Below is a geometry-optimized PmPrTlGa structure, with properties calculated at the PBE-GGA level.

```
4
Lattice="3.757 0.000 0.000 0.000 3.757 0.000 0.000 0.000 7.807" Properties=species:S:1:pos:R:3 pbc="T T T"
Pm 0.000 0.000 0.000
Pr 0.000 0.000 4.165
Tl 1.879 1.879 2.042
Ga 1.879 1.879 6.029
```

Output
* magnetic moment: 0.00 μB per formula unit
* mass density: 8.4 g/cm3

---

*B*
Below is a geometry-optimized PmPrTlGa structure, with properties calculated at the PBE-GGA level.

```
4
Lattice="0.000 3.811 3.811 3.811 0.000 3.811 3.811 3.811 0.000" Properties=species:S:1:pos:R:3 pbc="T T T"
Pm 0.000 0.000 0.000
Pr 3.811 3.811 3.811
Tl 5.717 5.717 5.717
Ga 1.906 1.906 1.906
```

Output
* magnetic moment: 0.00 μB per formula unit
* mass density: 8.4 g/cm3

---

Result of the stability comparison: *B* is the least stable of them.

---

*A*
Below is a geometry-optimized Pm2Ga3Pt5 structure, with properties calculated at the PBE-GGA level.

```
20
Lattice="-5.510 6.012 2.888 5.510 -6.012 2.888 5.510 6.012 -2.888" Properties=species:S:1:pos:R:3 pbc="T T T"
Pm 2.490 1.653 0.000
Pm 2.490 -1.653 2.888
Pm 3.020 7.664 0.000
Pm 3.020 4.359 2.888
Ga 4.338 -4.310 2.888
Ga 5.510 0.000 1.444
Ga 4.338 4.310 0.000
Ga 1.172 1.702 2.888
Ga 0.000 6.012 1.444
Ga 1.172 10.321 0.000
Pt 5.510 -2.614 1.444
Pt 7.440 1.153 0.000
Pt 0.000 0.000 1.444
Pt 1.929 4.859 0.000
Pt 5.510 2.614 1.444
Pt 0.000 3.397 1.444
Pt 3.581 1.153 2.888
Pt 0.000 0.000 4.332
Pt -1.929 4.859 2.888
Pt 0.000 8.626 1.444
```

Output
* magnetic moment: 0.00 μB per formula unit
* mass density: 12.8 g/cm3

---

*B*
Below is a geometry-optimized Pm2Ga3Pt5 structure, with properties calculated at the PBE-GGA level.

```
20
Lattice="2.106 -12.669 0.000 2.106 12.669 0.000 0.000 0.000 6.921" Properties=species:S:1:pos:R:3 pbc="T T T"
Pm 2.106 12.041 3.460
Pm 2.106 4.411 3.245
Pm 2.106 -4.411 6.706
Pm 2.106 -12.041 0.000
Ga 2.106 9.438 1.986
Ga 2.106 5.518 6.358
Ga 2.106 1.128 2.188
Ga 2.106 -1.128 5.648
Ga 2.106 -5.518 2.898
Ga 2.106 -9.438 5.446
Pt 2.106 10.181 5.840
Pt 2.106 7.696 4.494
Pt 2.106 6.918 1.521
Pt 2.106 3.004 0.278
Pt 2.106 1.414 4.758
Pt 2.106 -1.414 1.298
Pt 2.106 -3.004 3.738
Pt 2.106 -6.918 4.981
Pt 2.106 -7.696 1.033
Pt 2.106 -10.181 2.380
```

Output
* magnetic moment: 0.00 μB per formula unit
* mass density: 13.3 g/cm3

---

Result of the stability comparison: *B* is the least stable of them.

---

*A*
Below is a geometry-optimized PmGa4Pt structure, with properties calculated at the PBE-GGA level.

```
6
Lattice="4.108 0.000 0.000 0.000 4.108 0.000 0.000 0.000 7.949" Properties=species:S:1:pos:R:3 pbc="T T T"
Pm 0.000 0.000 0.000
Ga 0.000 2.054 2.375
Ga 0.000 2.054 5.573
Ga 2.054 0.000 2.375
Ga 2.054 0.000 5.573
Pt 2.054 2.054 3.974
```

Output
* magnetic moment: 0.00 μB per formula unit
* mass density: 7.7 g/cm3

---

*B*
Below is a geometry-optimized PmGa4Pt structure, with properties calculated at the PBE-GGA level.

```
12
Lattice="2.162 -7.862 0.000 2.162 7.862 0.000 0.000 0.000 6.732" Properties=species:S:1:pos:R:3 pbc="T T T"
Pm 2.162 5.944 5.049
Pm 2.162 -5.944 1.683
Ga 2.162 6.884 1.683
Ga 2.162 2.816 3.703
Ga 2.162 2.816 6.395
Ga 2.162 0.000 0.000
Ga 2.162 0.000 3.366
Ga 2.162 -2.816 0.337
Ga 2.162 -2.816 3.029
Ga 2.162 -6.884 5.049
Pt 2.162 4.406 1.683
Pt 2.162 -4.406 5.049
```

Output
* magnetic moment: 0.00 μB per formula unit
* mass density: 9.0 g/cm3

---

Result of the stability comparison: *A* is the least stable of them.